1.
First-principles (PBE-GGA) data for a relaxed Y2Pd3 crystal, as listed in OQMD via LeMat-Bulk.

Cell lengths 7.8070, 7.8070, 3.5434 Å; angles 90.00, 90.00, 90.00 degrees
With the nearest neighbours (Å) after each atom.
Sites, in units of the cell vectors:
Pd  0.0000  0.0000  0.0000  4 Y 2.91
Pd  0.5000  0.5000  0.0000  4 Y 2.91
Pd  0.6299  0.1299  0.5000  6 Y 2.85-2.93, 1 Pd 2.87
Pd  0.1299  0.3701  0.5000  6 Y 2.85-2.93, 1 Pd 2.87
Pd  0.8701  0.6299  0.5000  6 Y 2.85-2.93, 1 Pd 2.87
Pd  0.3701  0.8701  0.5000  6 Y 2.85-2.93, 1 Pd 2.87
Y  0.3326  0.1674  0.0000  8 Pd 2.85-2.93
Y  0.8326  0.3326  0.0000  8 Pd 2.85-2.93
Y  0.1674  0.6674  0.0000  8 Pd 2.85-2.93
Y  0.6674  0.8326  0.0000  8 Pd 2.85-2.93

Properties
Space group: P4/mbm
Energy relative to the elements: -0.65 eV/atom
VASP energy: -6.341 eV/atom
Total moment: 0.0 μB/f.u.



2.
First-principles (PBE-GGA) data for a relaxed Y2Pd crystal, as listed in OQMD via LeMat-Bulk.

Cell lengths 6.0100, 6.0100, 14.5979 Å; angles 90.00, 90.00, 120.00 degrees
With the nearest neighbours (Å) after each atom.
Sites, in units of the cell vectors:
Pd  0.0000  0.0000  0.1667  8 Y 2.99-3.09, 2 Pd 3.01
Pd  0.0000  0.5000  0.1667  8 Y 2.99-3.09, 2 Pd 3.01
Pd  0.0000  0.0000  0.5000  8 Y 2.99-3.09, 2 Pd 3.01
Pd  0.5000  0.0000  0.5000  8 Y 2.99-3.09, 2 Pd 3.01
Pd  0.0000  0.0000  0.8333  8 Y 2.99-3.09, 2 Pd 3.01
Pd  0.5000  0.5000  0.8333  8 Y 2.99-3.09, 2 Pd 3.01
Y  0.1668  0.3336  0.0000  4 Pd 2.99
Y  0.8332  0.6664  0.0000  4 Pd 2.99
Y  0.5000  0.0000  0.1164  4 Pd 3.09, 3 Y 3.34-3.40
Y  0.5000  0.5000  0.2169  4 Pd 3.09, 3 Y 3.34-3.40
Y  0.8332  0.1668  0.3333  4 Pd 2.99
Y  0.1668  0.8332  0.3333  4 Pd 2.99
Y  0.5000  0.5000  0.4498  4 Pd 3.09, 3 Y 3.34-3.40
Y  0.0000  0.5000  0.5502  4 Pd 3.09, 3 Y 3.34-3.40
Y  0.3336  0.1668  0.6667  4 Pd 2.99
Y  0.6664  0.8332  0.6667  4 Pd 2.99
Y  0.0000  0.5000  0.7831  4 Pd 3.09, 3 Y 3.34-3.40
Y  0.5000  0.0000  0.8836  4 Pd 3.09, 3 Y 3.34-3.40

Properties
Space group: P6_222
Energy relative to the elements: -0.57 eV/atom
VASP energy: -6.607 eV/atom
Total moment: 0.0 μB/f.u.



3.
First-principles (PBE-GGA) data for a relaxed Y2Pd crystal, as listed in OQMD via LeMat-Bulk.

Cell lengths 4.8879, 4.8879, 4.8879 Å; angles 60.00, 60.00, 60.00 degrees
With the nearest neighbours (Å) after each atom.
Sites, in units of the cell vectors:
Pd  0.0000  0.0000  0.0000  8 Y 2.99
Y  0.2500  0.2500  0.2500  4 Pd 2.99
Y  0.7500  0.7500  0.7500  4 Pd 2.99

Properties
Space group: Fm-3m
Energy relative to the elements: -0.47 eV/atom
VASP energy: -6.504 eV/atom
Total moment: 0.0 μB/f.u.



4.
First-principles (PBE-GGA) data for a relaxed YPd2 crystal, as listed in OQMD via LeMat-Bulk.

Cell lengths 4.5581, 4.5581, 4.5581 Å; angles 60.00, 60.00, 60.00 degrees
With the nearest neighbours (Å) after each atom.
Sites, in units of the cell vectors:
Pd  0.2500  0.2500  0.2500  4 Y 2.79
Pd  0.7500  0.7500  0.7500  4 Y 2.79
Y  0.0000  0.0000  0.0000  8 Pd 2.79

Properties
Space group: Fm-3m
Energy relative to the elements: -0.38 eV/atom
VASP energy: -5.987 eV/atom
Total moment: 0.0 μB/f.u.



5.
First-principles (PBE-GGA) data for a relaxed Y2ZnPd crystal, as listed in OQMD via LeMat-Bulk.

Cell lengths 4.8749, 4.8749, 4.8749 Å; angles 60.00, 60.00, 60.00 degrees
With the nearest neighbours (Å) after each atom.
Sites, in units of the cell vectors:
Pd  0.2500  0.2500  0.2500  4 Zn 2.99, 4 Y 2.99
Y  0.0000  0.0000  0.0000  4 Y 2.99, 4 Pd 2.99
Y  0.7500  0.7500  0.7500  4 Zn 2.99, 4 Y 2.99
Zn  0.5000  0.5000  0.5000  4 Y 2.99, 4 Pd 2.99

Properties
Space group: F-43m
Energy relative to the elements: -0.35 eV/atom
VASP energy: -5.196 eV/atom
Total moment: 0.0 μB/f.u.



6.
First-principles (PBE-GGA) data for a relaxed YZn2Pd crystal, as listed in OQMD via LeMat-Bulk.

Cell lengths 4.6898, 4.6898, 4.6898 Å; angles 60.00, 60.00, 60.00 degrees
With the nearest neighbours (Å) after each atom.
Sites, in units of the cell vectors:
Pd  0.5000  0.5000  0.5000  4 Y 2.87, 4 Zn 2.87
Y  0.7500  0.7500  0.7500  4 Pd 2.87, 4 Zn 2.87
Zn  0.0000  0.0000  0.0000  4 Y 2.87, 4 Zn 2.87
Zn  0.2500  0.2500  0.2500  4 Pd 2.87, 4 Zn 2.87

Properties
Space group: F-43m
Energy relative to the elements: -0.49 eV/atom
VASP energy: -4.028 eV/atom
Total moment: 0.0 μB/f.u.



7.
First-principles (PBE-GGA) data for a relaxed Y2ZrPd2 crystal, as listed in OQMD via LeMat-Bulk.

Cell lengths 7.6349, 7.6349, 3.8908 Å; angles 90.00, 90.00, 90.00 degrees
With the nearest neighbours (Å) after each atom.
Sites, in units of the cell vectors:
Pd  0.6317  0.1317  0.0000  1 Pd 2.84, 6 Y 2.90-3.03, 2 Zr 2.99
Pd  0.1317  0.3683  0.0000  1 Pd 2.84, 6 Y 2.90-3.03, 2 Zr 2.99
Pd  0.8683  0.6317  0.0000  1 Pd 2.84, 6 Y 2.90-3.03, 2 Zr 2.99
Pd  0.3683  0.8683  0.0000  1 Pd 2.84, 6 Y 2.90-3.03, 2 Zr 2.99
Y  0.3305  0.1695  0.5000  6 Pd 2.90-3.03
Y  0.8305  0.3305  0.5000  6 Pd 2.90-3.03
Y  0.1695  0.6695  0.5000  6 Pd 2.90-3.03
Y  0.6695  0.8305  0.5000  6 Pd 2.90-3.03
Zr  0.0000  0.0000  0.0000  4 Pd 2.99
Zr  0.5000  0.5000  0.0000  4 Pd 2.99

Properties
Space group: P4/mbm
Energy relative to the elements: -0.61 eV/atom
VASP energy: -6.972 eV/atom
Total moment: 0.1 μB/f.u.



8.
First-principles (PBE-GGA) data for a relaxed Y2ZrPd2 crystal, as listed in OQMD via LeMat-Bulk.

Cell lengths 7.6742, 7.6742, 7.6742 Å; angles 149.13, 149.13, 44.23 degrees
With the nearest neighbours (Å) after each atom.
Sites, in units of the cell vectors:
Pd  0.7500  0.2500  0.5000  4 Y 2.80, 4 Pd 2.89
Pd  0.2500  0.7500  0.5000  4 Y 2.80, 4 Pd 2.89
Y  0.3844  0.3844  0.0000  4 Pd 2.80
Y  0.6156  0.6156  0.0000  4 Pd 2.80
Zr  0.0000  0.0000  0.0000  8 Y 3.32

Properties
Space group: I4/mmm
Energy relative to the elements: -0.11 eV/atom
VASP energy: -6.472 eV/atom
Total moment: 1.7 μB/f.u.



9.
First-principles (PBE-GGA) data for a relaxed YZrPd crystal, as listed in OQMD via LeMat-Bulk.

Cell lengths 4.7358, 4.7358, 4.7358 Å; angles 60.00, 60.00, 60.00 degrees
With the nearest neighbours (Å) after each atom.
Sites, in units of the cell vectors:
Pd  0.0000  0.0000  0.0000  4 Zr 2.90, 4 Y 2.90
Y  0.2500  0.2500  0.2500  4 Pd 2.90
Zr  0.7500  0.7500  0.7500  4 Pd 2.90

Properties
Space group: F-43m
Energy relative to the elements: -0.20 eV/atom
VASP energy: -6.930 eV/atom
Total moment: 0.1 μB/f.u.